{"formula": "DyB6Ru6", "functional": "PBE-GGA", "state": "relaxed", "total_energy_ev_per_atom": -7.565, "total_magnetization_mub_per_atom": 0.00, "formation_energy_ev_per_atom": 0.15, "dos_ef_per_ev_cell": 7.565, "lattice_angstrom": [[4.731, 0.000, 0.000], [2.365, 5.487, 0.107], [2.365, 0.238, 5.483]], "species": ["Dy", "B", "B", "B", "B", "B", "B", "Ru", "Ru", "Ru", "Ru", "Ru", "Ru"], "frac_coords": [[0.000, 0.000, 0.000], [0.000, 0.500, 0.000], [0.500, 0.500, 0.000], [0.000, 0.000, 0.500], [0.500, 0.000, 0.500], [0.500, 0.765, 0.235], [0.500, 0.235, 0.765], [0.342, 0.658, 0.658], [0.658, 0.342, 0.342], [0.000, 0.332, 0.668], [0.000, 0.668, 0.332], [0.314, 0.186, 0.186], [0.686, 0.814, 0.814]]}

=====

{"formula": "DyBRu2", "functional": "PBE-GGA", "state": "relaxed", "total_energy_ev_per_atom": -7.547, "total_magnetization_mub_per_atom": 0.06, "formation_energy_ev_per_atom": -0.09, "dos_ef_per_ev_cell": 3.759, "lattice_angstrom": [[3.302, 0.000, 0.000], [1.651, 2.860, 0.000], [1.651, 0.953, 6.668]], "species": ["Ru", "Ru", "B", "Dy"], "frac_coords": [[0.282, 0.282, 0.155], [0.718, 0.718, 0.845], [0.000, 0.000, 0.000], [0.500, 0.500, 0.500]]}

=====

{"formula": "Dy3B7Ru", "functional": "PBE-GGA", "state": "relaxed", "total_energy_ev_per_atom": -6.984, "total_magnetization_mub_per_atom": 0.00, "formation_energy_ev_per_atom": -0.64, "dos_ef_per_ev_cell": 4.525, "lattice_angstrom": [[3.519, 0.000, 0.000], [-1.759, 7.872, 0.000], [0.000, 0.000, 9.331]], "species": ["Dy", "Dy", "Dy", "Dy", "Dy", "Dy", "B", "B", "B", "B", "B", "B", "B", "B", "B", "B", "B", "B", "B", "B", "Ru", "Ru"], "frac_coords": [[0.106, 0.211, 0.440], [0.894, 0.789, 0.560], [0.244, 0.489, 0.750], [0.756, 0.511, 0.250], [0.106, 0.211, 0.060], [0.894, 0.789, 0.940], [0.458, 0.916, 0.750], [0.542, 0.084, 0.250], [0.479, 0.958, 0.404], [0.521, 0.042, 0.596], [0.521, 0.042, 0.904], [0.479, 0.958, 0.096], [0.368, 0.737, 0.349], [0.632, 0.263, 0.651], [0.273, 0.546, 0.466], [0.727, 0.454, 0.534], [0.727, 0.454, 0.966], [0.273, 0.546, 0.034], [0.368, 0.737, 0.151], [0.632, 0.263, 0.849], [0.946, 0.891, 0.250], [0.054, 0.109, 0.750]]}

=====

{"formula": "Dy2B10Ru", "functional": "PBE-GGA", "state": "relaxed", "total_energy_ev_per_atom": -7.043, "total_magnetization_mub_per_atom": 0.00, "formation_energy_ev_per_atom": -0.49, "dos_ef_per_ev_cell": 2.967, "lattice_angstrom": [[-3.606, -1.807, 1.041], [2.080, -1.169, 5.177], [-3.887, 9.949, 3.809]], "species": ["Dy", "Dy", "Dy", "Dy", "B", "B", "B", "B", "B", "B", "B", "B", "B", "B", "B", "B", "B", "B", "B", "B", "B", "B", "B", "B", "Ru", "Ru"], "frac_coords": [[0.500, 0.277, 0.870], [0.500, 0.723, 0.130], [0.500, 0.777, 0.630], [0.500, 0.223, 0.370], [0.000, 0.120, 0.542], [0.000, 0.880, 0.458], [0.000, 0.620, 0.958], [0.000, 0.380, 0.042], [0.000, 0.134, 0.697], [0.000, 0.866, 0.303], [0.301, 0.223, 0.119], [0.301, 0.777, 0.881], [0.699, 0.723, 0.381], [0.699, 0.277, 0.619], [0.699, 0.777, 0.881], [0.699, 0.223, 0.119], [0.301, 0.277, 0.619], [0.301, 0.723, 0.381], [0.000, 0.057, 0.193], [0.000, 0.943, 0.807], [0.000, 0.557, 0.307], [0.000, 0.443, 0.693], [0.000, 0.366, 0.197], [0.000, 0.634, 0.803], [0.000, 0.500, 0.500], [0.000, 0.000, 0.000]]}

=====

{"formula": "Dy2B6Ru", "functional": "PBE-GGA", "state": "relaxed", "total_energy_ev_per_atom": -7.180, "total_magnetization_mub_per_atom": 0.00, "formation_energy_ev_per_atom": -0.67, "dos_ef_per_ev_cell": 3.063, "relative_energy_ev_per_atom": 0.000, "lattice_angstrom": [[3.667, 0.000, 0.000], [0.000, 9.157, 0.000], [0.000, 0.000, 11.525]], "species": ["Dy", "Dy", "Dy", "Dy", "Dy", "Dy", "Dy", "Dy", "B", "B", "B", "B", "B", "B", "B", "B", "B", "B", "B", "B", "B", "B", "B", "B", "B", "B", "B", "B", "B", "B", "B", "B", "Ru", "Ru", "Ru", "Ru"], "frac_coords": [[0.000, 0.323, 0.414], [0.000, 0.677, 0.586], [0.000, 0.823, 0.086], [0.000, 0.177, 0.914], [0.000, 0.944, 0.373], [0.000, 0.056, 0.627], [0.000, 0.444, 0.127], [0.000, 0.556, 0.873], [0.500, 0.554, 0.433], [0.500, 0.446, 0.567], [0.500, 0.054, 0.067], [0.500, 0.946, 0.933], [0.500, 0.748, 0.420], [0.500, 0.252, 0.580], [0.500, 0.248, 0.080], [0.500, 0.752, 0.920], [0.500, 0.790, 0.267], [0.500, 0.210, 0.733], [0.500, 0.290, 0.233], [0.500, 0.710, 0.767], [0.500, 0.632, 0.185], [0.500, 0.368, 0.815], [0.500, 0.132, 0.315], [0.500, 0.868, 0.685], [0.500, 0.984, 0.213], [0.500, 0.016, 0.787], [0.500, 0.484, 0.287], [0.500, 0.516, 0.713], [0.500, 0.611, 0.031], [0.500, 0.389, 0.969], [0.500, 0.111, 0.469], [0.500, 0.889, 0.531], [0.000, 0.638, 0.321], [0.000, 0.362, 0.679], [0.000, 0.138, 0.179], [0.000, 0.862, 0.821]]}

=====

{"formula": "DyBRu3", "functional": "PBE-GGA", "state": "relaxed", "total_energy_ev_per_atom": -7.688, "total_magnetization_mub_per_atom": 0.00, "formation_energy_ev_per_atom": 0.13, "dos_ef_per_ev_cell": 8.535, "lattice_angstrom": [[-3.338, -1.999, 2.108], [1.567, -4.802, -2.072], [3.723, -0.944, 5.003]], "species": ["Dy", "Dy", "B", "B", "Ru", "Ru", "Ru", "Ru", "Ru", "Ru"], "frac_coords": [[0.000, 0.250, 0.195], [0.000, 0.750, 0.805], [0.500, 0.750, 0.262], [0.500, 0.250, 0.738], [0.500, 0.000, 0.000], [0.500, 0.500, 0.000], [0.000, 0.750, 0.273], [0.000, 0.250, 0.727], [0.500, 0.250, 0.421], [0.500, 0.750, 0.579]]}

=====

{"formula": "DyBRu2", "functional": "PBE-GGA", "state": "relaxed", "total_energy_ev_per_atom": -7.913, "total_magnetization_mub_per_atom": 0.00, "formation_energy_ev_per_atom": -0.46, "dos_ef_per_ev_cell": 4.350, "lattice_angstrom": [[-0.236, 2.427, 3.470], [4.489, -3.028, 2.423], [6.285, 6.193, -3.905]], "species": ["Dy", "Dy", "Dy", "Dy", "B", "B", "B", "B", "Ru", "Ru", "Ru", "Ru", "Ru", "Ru", "Ru", "Ru"], "frac_coords": [[0.750, 0.593, 0.619], [0.250, 0.907, 0.119], [0.250, 0.407, 0.381], [0.750, 0.093, 0.881], [0.750, 0.869, 0.406], [0.250, 0.631, 0.906], [0.250, 0.131, 0.594], [0.750, 0.369, 0.094], [0.750, 0.088, 0.579], [0.250, 0.412, 0.079], [0.250, 0.912, 0.421], [0.750, 0.588, 0.921], [0.750, 0.651, 0.238], [0.250, 0.849, 0.738], [0.250, 0.349, 0.762], [0.750, 0.151, 0.262]]}

=====

{"formula": "Dy2B4Ru3", "functional": "PBE-GGA", "state": "relaxed", "total_energy_ev_per_atom": -7.164, "total_magnetization_mub_per_atom": 0.01, "formation_energy_ev_per_atom": -0.08, "dos_ef_per_ev_cell": 9.256, "lattice_angstrom": [[5.399, 0.021, 0.000], [-2.490, 4.790, 0.000], [-1.454, -2.406, 4.796]], "species": ["Dy", "Dy", "B", "B", "B", "B", "Ru", "Ru", "Ru"], "frac_coords": [[0.658, 0.658, 0.316], [0.342, 0.342, 0.684], [0.049, 0.620, 0.669], [0.620, 0.049, 0.669], [0.951, 0.380, 0.331], [0.380, 0.951, 0.331], [0.500, 0.000, 0.000], [0.000, 0.000, 0.000], [0.000, 0.500, 0.000]]}

=====

{"formula": "Dy2BRu3", "functional": "PBE-GGA", "state": "relaxed", "total_energy_ev_per_atom": -7.221, "total_magnetization_mub_per_atom": 0.05, "formation_energy_ev_per_atom": 0.06, "dos_ef_per_ev_cell": 6.483, "lattice_angstrom": [[-0.217, 1.291, -2.908], [-3.979, -2.803, -0.947], [-1.774, 5.450, 4.301]], "species": ["Dy", "Dy", "B", "Ru", "Ru", "Ru"], "frac_coords": [[0.686, 0.186, 0.372], [0.314, 0.814, 0.628], [0.000, 0.500, 0.000], [0.393, 0.393, 0.786], [0.000, 0.000, 0.000], [0.607, 0.607, 0.214]]}

=====

{"formula": "Dy2BRu2", "functional": "PBE-GGA", "state": "relaxed", "total_energy_ev_per_atom": -7.254, "total_magnetization_mub_per_atom": 0.00, "formation_energy_ev_per_atom": -0.37, "dos_ef_per_ev_cell": 3.687, "lattice_angstrom": [[-1.987, -3.778, -4.369], [1.127, -5.994, -0.341], [-5.006, -2.334, 2.585]], "species": ["Dy", "Dy", "Dy", "Dy", "B", "B", "Ru", "Ru", "Ru", "Ru"], "frac_coords": [[0.502, 0.225, 0.113], [0.775, 0.498, 0.387], [0.498, 0.775, 0.887], [0.225, 0.502, 0.613], [0.053, 0.947, 0.250], [0.947, 0.053, 0.750], [0.752, 0.000, 0.531], [0.000, 0.248, 0.969], [0.248, 0.000, 0.469], [0.000, 0.752, 0.031]]}

=====

{"formula": "DyB4Ru6", "functional": "PBE-GGA", "state": "relaxed", "total_energy_ev_per_atom": -8.047, "total_magnetization_mub_per_atom": 0.00, "formation_energy_ev_per_atom": -0.14, "dos_ef_per_ev_cell": 9.975, "lattice_angstrom": [[-4.718, -0.520, 3.233], [5.222, 0.208, 2.381], [1.237, 4.929, -2.675]], "species": ["Dy", "B", "B", "B", "B", "Ru", "Ru", "Ru", "Ru", "Ru", "Ru"], "frac_coords": [[0.000, 0.000, 0.000], [0.000, 0.290, 0.579], [0.711, 0.421, 0.421], [0.000, 0.579, 0.290], [0.289, 0.710, 0.710], [0.000, 0.909, 0.529], [0.000, 0.529, 0.909], [0.620, 0.091, 0.091], [0.500, 0.000, 0.500], [0.380, 0.471, 0.471], [0.500, 0.500, 0.000]]}

=====

{"formula": "Dy2B6Ru", "functional": "PBE-GGA", "state": "relaxed", "total_energy_ev_per_atom": -6.849, "total_magnetization_mub_per_atom": 0.00, "formation_energy_ev_per_atom": -0.34, "dos_ef_per_ev_cell": 2.784, "relative_energy_ev_per_atom": 0.331, "lattice_angstrom": [[3.495, 0.000, 0.000], [0.000, 5.365, 0.000], [-1.747, -2.683, 5.862]], "species": ["Dy", "Dy", "B", "B", "B", "B", "B", "B", "Ru"], "frac_coords": [[0.839, 0.839, 0.677], [0.161, 0.161, 0.323], [0.619, 0.767, 0.237], [0.381, 0.233, 0.763], [0.381, 0.530, 0.763], [0.500, 0.168, 0.000], [0.500, 0.832, 0.000], [0.619, 0.470, 0.237], [0.000, 0.500, 0.000]]}